The following is a DFT calculation (PBE-GGA) of Pm6SiSb2Se3 after structural relaxation.

Structure (CIF):
```
data_Pm6SiSb2Se3
_cell_length_a 18.813
_cell_length_b 4.318
_cell_length_c 8.642
_cell_angle_alpha 90.00
_cell_angle_beta 102.78
_cell_angle_gamma 90.00
_symmetry_space_group_name_H-M 'C 1 2/m 1'
_symmetry_Int_Tables_number 12
loop_
_symmetry_equiv_pos_as_xyz
'x,y,z'
'-x,-y,-z'
'-x,y,-z'
'x,-y,z'
'x+1/2,y+1/2,z'
'-x+1/2,-y+1/2,-z'
'-x+1/2,y+1/2,-z'
'x+1/2,-y+1/2,z'
loop_
_atom_site_label
_atom_site_type_symbol
_atom_site_fract_x
_atom_site_fract_y
_atom_site_fract_z
Pm1 Pm 0.002 0.000 0.265
Pm2 Pm 0.160 0.500 0.573
Pm3 Pm 0.163 0.500 0.089
Si1 Si 0.000 0.500 0.500
Sb1 Sb 0.167 0.000 0.834
Se1 Se 0.000 0.500 0.000
Se2 Se 0.168 0.000 0.334
```

Summary:
Formation energy from raw total energies (meV per atom): -1457
Size of the total moment (Bohr magnetons per cell): 0.000